NaUClF4: optimized geometry, PBE.

Formation energy without anion corrections: -21.40 eV per formula unit
SG: C2/m
Crystal system: monoclinic

Cell lengths 6.525, 6.525, 7.631 Å; angles 76.01, 76.01, 67.58 degrees
Fractional positions:
F (0.530, 0.914, 0.859)
U (0.225, 0.225, 0.899)
F (0.086, 0.470, 0.141)
F (0.470, 0.086, 0.141)
Cl (0.997, 0.997, 0.789)
F (0.718, 0.718, 0.396)
Na (0.365, 0.365, 0.308)
Na (0.635, 0.635, 0.692)
F (0.572, 0.572, 0.162)
U (0.775, 0.775, 0.101)
F (0.428, 0.428, 0.838)
F (0.282, 0.282, 0.604)
F (0.914, 0.530, 0.859)
Cl (0.003, 0.003, 0.211)

=====

CuSi2Ni: optimized geometry, PBE.

Formation energy without anion corrections: 0.70 eV per formula unit
SG: F-43m
Crystal system: cubic

Cell lengths 4.150, 4.150, 4.150 Å; angles 60.00, 60.00, 60.00 degrees
Fractional positions:
Ni (0.250, 0.250, 0.250)
Cu (0.500, 0.500, 0.500)
Si (0.000, 0.000, 0.000)
Si (0.750, 0.750, 0.750)

=====

CePa3P4: optimized geometry, PBE.

Energy: -8.381 eV/atom
SG: Cmmm
Crystal system: orthorhombic

Cell lengths 3.991, 6.918, 6.918 Å; angles 70.56, 90.00, 90.00 degrees
Fractional positions:
Ce (0.500, 0.500, 0.000)
Pa (0.000, 0.500, 0.500)
P (0.500, 0.248, 0.748)
P (0.000, 0.755, 0.745)
Pa (0.000, 0.000, 0.000)
P (0.000, 0.245, 0.255)
Pa (0.500, 0.000, 0.500)
P (0.500, 0.752, 0.252)

=====

Be2Co3Si2: optimized geometry, PBE.

Formation energy without anion corrections: -3.06 eV per formula unit
SG: C2/m
Crystal system: monoclinic

Cell lengths 3.822, 3.831, 6.579 Å; angles 89.99, 117.86, 120.10 degrees
Fractional positions:
Co (0.612, 0.806, 0.266)
Co (0.000, 0.000, 0.000)
Si (0.851, 0.426, 0.175)
Co (0.388, 0.194, 0.734)
Si (0.149, 0.574, 0.825)
Be (0.570, 0.785, 0.600)
Be (0.430, 0.215, 0.400)

=====

Be2Pt2W: optimized geometry, PBE.

Energy: -6.901 eV/atom
SG: P4/mbm
Crystal system: tetragonal

Cell lengths 6.813, 6.813, 2.714 Å; angles 90.00, 90.00, 90.00 degrees
Fractional positions:
Pt (0.172, 0.672, 0.500)
W (0.000, 0.000, 0.000)
W (0.500, 0.500, 0.000)
Pt (0.828, 0.328, 0.500)
Be (0.123, 0.377, 0.000)
Be (0.877, 0.623, 0.000)
Be (0.377, 0.877, 0.000)
Be (0.623, 0.123, 0.000)
Pt (0.328, 0.172, 0.500)
Pt (0.672, 0.828, 0.500)

=====

SbRhI2O: optimized geometry, PBE.

Formation energy without anion corrections: 3.48 eV per formula unit
SG: P4/mmm
Crystal system: tetragonal

Cell lengths 5.138, 5.138, 4.469 Å; angles 90.00, 90.00, 90.00 degrees
Fractional positions:
Sb (0.000, 0.000, 0.500)
I (0.500, 0.000, 0.000)
Rh (0.500, 0.500, 0.500)
O (0.000, 0.000, 0.000)
I (0.000, 0.500, 0.000)